[1]
! PBE-GGA VIBr3, relaxed; values from VASP
! density of states at the Fermi level	0.81	states/eV per atom
! formation energy without anion corrections	-254	meV per atom
&SYSTEM
  ibrav = 0, nat = 5, ntyp = 3
/
ATOMIC_SPECIES
V 50.94 V.upf
I 126.90 I.upf
Br 79.90 Br.upf
CELL_PARAMETERS angstrom
5.184 0.000 0.000
0.000 5.184 0.000
0.000 0.000 5.184
ATOMIC_POSITIONS crystal
V 0.000 0.000 0.000
I 0.500 0.500 0.500
Br 0.000 0.000 0.500
Br 0.000 0.500 0.000
Br 0.500 0.000 0.000

=====

[2]
! PBE-GGA VIBr3, relaxed; values from VASP
! density of states at the Fermi level	1.32	states/eV per atom
! formation energy without anion corrections	-683	meV per atom
&SYSTEM
  ibrav = 0, nat = 10, ntyp = 3
/
ATOMIC_SPECIES
V 50.94 V.upf
I 126.90 I.upf
Br 79.90 Br.upf
CELL_PARAMETERS angstrom
7.181 0.000 0.000
0.014 7.450 0.000
0.003 0.002 8.734
ATOMIC_POSITIONS crystal
V 0.000 0.000 0.000
V 0.500 0.376 0.500
I 0.106 0.320 0.000
I 0.607 0.056 0.500
Br 0.112 0.860 0.216
Br 0.113 0.860 0.784
Br 0.180 0.383 0.500
Br 0.611 0.516 0.283
Br 0.612 0.517 0.715
Br 0.680 0.994 0.000

=====

[3]
! PBE-GGA VI3Br, relaxed; values from VASP
! density of states at the Fermi level	1.24	states/eV per atom
! formation energy without anion corrections	-480	meV per atom
&SYSTEM
  ibrav = 0, nat = 10, ntyp = 3
/
ATOMIC_SPECIES
V 50.94 V.upf
I 126.90 I.upf
Br 79.90 Br.upf
CELL_PARAMETERS angstrom
7.529 0.000 0.000
0.007 7.643 0.000
0.002 0.004 8.886
ATOMIC_POSITIONS crystal
V 0.000 0.000 0.000
V 0.500 0.352 0.501
I 0.333 0.989 0.001
I 0.386 0.507 0.271
I 0.388 0.507 0.732
I 0.833 0.362 0.499
I 0.886 0.846 0.230
I 0.889 0.845 0.770
Br 0.405 0.066 0.501
Br 0.905 0.286 0.999

=====

[4]
! PBE-GGA VI3Br, relaxed; values from VASP
! density of states at the Fermi level	1.52	states/eV per atom
! formation energy without anion corrections	843	meV per atom
&SYSTEM
  ibrav = 0, nat = 5, ntyp = 3
/
ATOMIC_SPECIES
V 50.94 V.upf
I 126.90 I.upf
Br 79.90 Br.upf
CELL_PARAMETERS angstrom
5.918 0.000 0.000
0.000 5.918 0.000
0.000 0.000 5.918
ATOMIC_POSITIONS crystal
V 0.000 0.000 0.000
I 0.000 0.500 0.500
I 0.500 0.000 0.500
I 0.500 0.500 0.000
Br 0.500 0.500 0.500